Here is a geometry-optimized CsHo4Te2C structure from the Open Quantum Materials Database. Energies are from PBE.

Summary:
crystal system: trigonal
energy: -39.12 eV per cell

```
CsHo4Te2C
1.0
3.866 0.000 0.000
-1.933 3.348 0.000
0.000 0.000 18.695
Cs Ho Te C
1 4 2 1
Direct
0.000 0.000 0.000
0.333 0.667 0.568
0.333 0.667 0.799
0.667 0.333 0.201
0.667 0.333 0.432
0.333 0.667 0.313
0.667 0.333 0.687
0.000 0.000 0.500
```

=====

Here is a geometry-optimized Cs2PtC4I2N4 structure from the Open Quantum Materials Database. Energies are from PBE.

Summary:
crystal system: monoclinic
energy: -166.54 eV per cell

```
Cs2PtC4I2N4
1.0
7.692 0.000 0.000
0.000 9.570 0.000
-2.649 0.000 8.960
Cs Pt C I N
4 2 8 4 8
Direct
0.022 0.219 0.384
0.022 0.281 0.884
0.978 0.719 0.116
0.978 0.781 0.616
0.500 0.000 0.000
0.500 0.500 0.500
0.306 0.026 0.104
0.306 0.474 0.604
0.317 0.038 0.804
0.317 0.462 0.304
0.683 0.538 0.696
0.683 0.962 0.196
0.694 0.526 0.396
0.694 0.974 0.896
0.419 0.722 0.969
0.419 0.778 0.469
0.581 0.222 0.531
0.581 0.278 0.031
0.190 0.042 0.160
0.190 0.458 0.660
0.205 0.062 0.692
0.205 0.438 0.192
0.795 0.562 0.808
0.795 0.938 0.308
0.810 0.542 0.340
0.810 0.958 0.840
```

=====

Here is a geometry-optimized Cs2Zr7CI18 structure from the Open Quantum Materials Database. Energies are from PBE.

Summary:
crystal system: trigonal
energy: -128.14 eV per cell

```
Cs2Zr7CI18
1.0
5.536 3.196 9.990
-5.536 3.196 9.990
0.000 -6.393 9.990
Cs Zr C I
2 7 1 18
Direct
0.223 0.223 0.223
0.777 0.777 0.777
0.088 0.857 0.187
0.143 0.813 0.912
0.187 0.088 0.857
0.500 0.500 0.500
0.813 0.912 0.143
0.857 0.187 0.088
0.912 0.143 0.813
0.000 0.000 0.000
0.055 0.344 0.932
0.068 0.945 0.656
0.126 0.285 0.587
0.217 0.645 0.471
0.285 0.587 0.126
0.344 0.932 0.055
0.355 0.529 0.783
0.413 0.874 0.715
0.471 0.217 0.645
0.529 0.783 0.355
0.587 0.126 0.285
0.645 0.471 0.217
0.656 0.068 0.945
0.715 0.413 0.874
0.783 0.355 0.529
0.874 0.715 0.413
0.932 0.055 0.344
0.945 0.656 0.068
```

=====

Copy entry 3 word for word.
Here is a geometry-optimized Cs2Zr7CI18 structure from the Open Quantum Materials Database. Energies are from PBE.

Summary:
crystal system: trigonal
energy: -128.14 eV per cell

```
Cs2Zr7CI18
1.0
5.536 3.196 9.990
-5.536 3.196 9.990
0.000 -6.393 9.990
Cs Zr C I
2 7 1 18
Direct
0.223 0.223 0.223
0.777 0.777 0.777
0.088 0.857 0.187
0.143 0.813 0.912
0.187 0.088 0.857
0.500 0.500 0.500
0.813 0.912 0.143
0.857 0.187 0.088
0.912 0.143 0.813
0.000 0.000 0.000
0.055 0.344 0.932
0.068 0.945 0.656
0.126 0.285 0.587
0.217 0.645 0.471
0.285 0.587 0.126
0.344 0.932 0.055
0.355 0.529 0.783
0.413 0.874 0.715
0.471 0.217 0.645
0.529 0.783 0.355
0.587 0.126 0.285
0.645 0.471 0.217
0.656 0.068 0.945
0.715 0.413 0.874
0.783 0.355 0.529
0.874 0.715 0.413
0.932 0.055 0.344
0.945 0.656 0.068
```